--- 1 ---
UNi6Pt after structural relaxation. Source: the Alexandria database, functional PBE-GGA.

DOS(E_F) = 7.908 states/eV per cell

Cell: 4.716 4.716 4.716 Å, 90.00 90.00 90.00°
Space group Pm-3 (No. 200)
Inequivalent atoms, fractional coordinates:
U 0.000 0.000 0.000
Ni 0.000 0.500 0.254
Pt 0.500 0.500 0.500

--- 2 ---
UNi6Pt after structural relaxation. Source: the Alexandria database, functional PBE-GGA.

DOS(E_F) = 3.350 states/eV per cell

Cell: 5.235 5.235 3.759 Å, 90.00 90.00 90.00°
Space group P4/mmm (No. 123)
Inequivalent atoms, fractional coordinates:
U 0.000 0.000 0.000
Ni 0.000 0.500 0.000
Ni 0.250 0.250 0.500
Pt 0.500 0.500 0.000

Which structure is the least stable? The one labeled 1.